# 1
VASP calculation (PBE-GGA) on a relaxed CeIn2Rh crystal.

Values from the calculation:
As for the density of states at the Fermi level: 7.066 states/eV per cell. Its mass density is 8.39 g/cm3. The space group is R-3m, No. 166. For the energy of formation from the pure elements, the calculation gives 0.15 eV/f.u. The uncorrected energy is -0.34193 Ry/atom. The calculated volume comes out at 93.6 Å³/cell.

Lattice parameters (Å, degrees): 3.181 3.181 10.837 81.56 81.56 60.00
Each line ends with the local moment (μB).
Fractional coordinates of all 4 atoms:
1 Rh 0.500 0.500 0.500  -0.05
2 Ce 0.000 0.000 0.000  0.55
3 In 0.102 0.102 0.694  0.00
4 In 0.898 0.898 0.306  0.00

=====

# 2
VASP calculation (PBE-GGA) on a relaxed LaZrW2 crystal.

Values from the calculation:
As for the density of states at the Fermi level: 5.514 states/eV per cell. Its mass density is 11.97 g/cm3. The space group is P4/mmm, No. 123. For the energy of formation from the pure elements, the calculation gives 3.37 eV/f.u. The uncorrected energy is -0.66169 Ry/atom. For the energy above the most stable polymorph in this dataset, the calculation gives 593.3 meV per atom. The calculated volume comes out at 82.9 Å³/cell.

Lattice parameters (Å, degrees): 5.156 4.011 4.011 90.00 90.00 90.00
Fractional coordinates of all 4 atoms:
1 La 0.500 0.000 0.500
2 W 0.000 0.000 0.000
3 W 0.000 0.500 0.500
4 Zr 0.500 0.500 0.000

=====

# 3
VASP calculation (PBE-GGA) on a relaxed Zr3VBr crystal.

Values from the calculation:
As for the density of states at the Fermi level: 6.412 states/eV per cell. Its mass density is 5.51 g/cm3. The space group is Pm-3m, No. 221. The uncorrected energy is -0.48750 Ry/atom. For the energy above the most stable polymorph in this dataset, the calculation gives 0.0 meV per atom. The calculated volume comes out at 121.9 Å³/cell. The raw formation energy is 0.654 eV/atom.

Lattice parameters (Å, degrees): 4.959 4.959 4.959 90.00 90.00 90.00
Each line ends with the local moment (μB).
Fractional coordinates of all 5 atoms:
1 Zr 0.000 0.500 0.000  -0.13
2 Zr 0.000 0.000 0.500  -0.13
3 Zr 0.500 0.000 0.000  -0.13
4 Br 0.000 0.000 0.000  -0.01
5 V 0.500 0.500 0.500  2.48

=====

# 4
VASP calculation (PBE-GGA) on a relaxed Sc2FeAu crystal.

Values from the calculation:
As for the density of states at the Fermi level: 5.062 states/eV per cell. Its mass density is 7.95 g/cm3. The space group is P4/mmm, No. 123. For the energy of formation from the pure elements, the calculation gives -1.55 eV/f.u. The uncorrected energy is -0.47692 Ry/atom. The calculated volume comes out at 71.6 Å³/cell.

Lattice parameters (Å, degrees): 7.338 4.604 3.376 90.06 62.53 128.88
Each line ends with the local moment (μB).
Fractional coordinates of all 4 atoms:
1 Au 0.000 0.500 0.500  0.01
2 Fe 0.500 0.500 0.000  1.70
3 Sc 0.000 0.000 0.000  -0.23
4 Sc 0.500 0.000 0.500  -0.23

=====

# 5
VASP calculation (PBE-GGA) on a relaxed Hf6TcSn3 crystal.

Values from the calculation:
As for the density of states at the Fermi level: 18.368 states/eV per cell. Its mass density is 11.55 g/cm3. The space group is Cmc2_1, No. 36. For the energy of formation from the pure elements, the calculation gives -1.38 eV/f.u. The uncorrected energy is -0.61356 Ry/atom. The calculated volume comes out at 438.7 Å³/cell.

Lattice parameters (Å, degrees): 5.800 9.273 9.273 118.42 90.00 90.00
Fractional coordinates of all 20 atoms:
1 Hf 0.092 0.751 0.603
2 Hf 0.592 0.603 0.751
3 Hf 0.246 0.402 0.925
4 Hf 0.746 0.925 0.402
5 Hf 0.284 0.036 0.964
6 Hf 0.721 0.272 0.728
7 Hf 0.221 0.728 0.272
8 Hf 0.784 0.964 0.036
9 Hf 0.246 0.075 0.598
10 Hf 0.746 0.598 0.075
11 Hf 0.092 0.397 0.249
12 Hf 0.592 0.249 0.397
13 Tc 0.971 0.140 0.860
14 Tc 0.471 0.860 0.140
15 Sn 0.616 0.912 0.705
16 Sn 0.116 0.705 0.912
17 Sn 0.101 0.407 0.593
18 Sn 0.601 0.593 0.407
19 Sn 0.116 0.088 0.295
20 Sn 0.616 0.295 0.088

=====

# 6
VASP calculation (PBE-GGA) on a relaxed CaPrMg2 crystal.

Values from the calculation:
As for the density of states at the Fermi level: 7.162 states/eV per cell. Its mass density is 3.13 g/cm3. The space group is Cmcm, No. 63. For the energy of formation from the pure elements, the calculation gives -0.39 eV/f.u. The uncorrected energy is -0.19029 Ry/atom. The calculated volume comes out at 243.7 Å³/cell.

Lattice parameters (Å, degrees): 5.575 6.819 6.819 109.92 90.00 90.00
Fractional coordinates of all 8 atoms:
1 Ca 0.250 0.875 0.125
2 Ca 0.750 0.125 0.875
3 Pr 0.250 0.361 0.639
4 Pr 0.750 0.639 0.361
5 Mg 0.750 0.622 0.857
6 Mg 0.750 0.143 0.378
7 Mg 0.250 0.378 0.143
8 Mg 0.250 0.857 0.622

=====

# 7
VASP calculation (PBE-GGA) on a relaxed RbIn2Ni crystal.

Values from the calculation:
As for the density of states at the Fermi level: 2.032 states/eV per cell. Its mass density is 5.05 g/cm3. The space group is R-3m, No. 166. For the energy of formation from the pure elements, the calculation gives 0.01 eV/f.u. The uncorrected energy is -0.22449 Ry/atom. The calculated volume comes out at 122.9 Å³/cell.

Lattice parameters (Å, degrees): 4.558 4.558 7.321 71.86 71.86 60.00
Fractional coordinates of all 4 atoms:
1 Ni 0.000 0.000 0.000
2 Rb 0.500 0.500 0.500
3 In 0.698 0.698 0.906
4 In 0.302 0.302 0.094

=====

# 8
VASP calculation (PBE-GGA) on a relaxed Ba2CaIn4Ga3 crystal.

Values from the calculation:
As for the density of states at the Fermi level: 4.665 states/eV per cell. Its mass density is 5.55 g/cm3. The space group is P-4m2, No. 115. For the energy of formation from the pure elements, the calculation gives -3.64 eV/f.u. The uncorrected energy is -0.21698 Ry/atom. The calculated volume comes out at 294.2 Å³/cell.

Lattice parameters (Å, degrees): 4.825 4.825 12.639 90.00 90.00 90.00
Fractional coordinates of all 10 atoms:
1 Ba 0.500 0.000 0.231
2 Ba 0.000 0.500 0.769
3 Ca 0.500 0.500 0.500
4 In 0.500 0.500 0.000
5 In 0.000 0.000 0.000
6 In 0.500 0.000 0.651
7 In 0.000 0.500 0.349
8 Ga 0.000 0.000 0.500
9 Ga 0.500 0.000 0.871
10 Ga 0.000 0.500 0.129

=====

# 9
VASP calculation (PBE-GGA) on a relaxed NaMg2Al2 crystal.

Values from the calculation:
As for the density of states at the Fermi level: 4.291 states/eV per cell. Its mass density is 1.88 g/cm3. The space group is P4/mbm, No. 127. For the energy of formation from the pure elements, the calculation gives 0.30 eV/f.u. The uncorrected energy is -0.17191 Ry/atom. For the energy above the most stable polymorph in this dataset, the calculation gives 0.0 meV per atom. The calculated volume comes out at 222.1 Å³/cell.

Lattice parameters (Å, degrees): 8.523 8.523 3.057 90.00 90.00 90.00
Fractional coordinates of all 10 atoms:
1 Na 0.000 0.000 0.000
2 Na 0.500 0.500 0.000
3 Mg 0.177 0.677 0.500
4 Mg 0.677 0.823 0.500
5 Mg 0.823 0.323 0.500
6 Mg 0.323 0.177 0.500
7 Al 0.383 0.883 0.000
8 Al 0.883 0.617 0.000
9 Al 0.617 0.117 0.000
10 Al 0.117 0.383 0.000

=====

# 10
VASP calculation (PBE-GGA) on a relaxed CeTc2B4 crystal.

Values from the calculation:
As for the density of states at the Fermi level: 7.579 states/eV per cell. Its mass density is 7.28 g/cm3. The space group is C2/c, No. 15. For the energy of formation from the pure elements, the calculation gives -1.37 eV/f.u. The uncorrected energy is -0.57478 Ry/atom. The calculated volume comes out at 173.1 Å³/cell.

Lattice parameters (Å, degrees): 5.716 5.605 6.418 115.89 108.46 90.00
Fractional coordinates of all 14 atoms:
1 B 0.803 0.769 0.165
2 B 0.697 0.604 0.835
3 B 0.197 0.231 0.835
4 B 0.303 0.396 0.165
5 B 0.019 0.038 0.278
6 B 0.481 0.760 0.722
7 B 0.981 0.962 0.722
8 B 0.519 0.240 0.278
9 Tc 0.170 0.812 0.479
10 Tc 0.330 0.334 0.521
11 Tc 0.830 0.188 0.521
12 Tc 0.670 0.666 0.479
13 Ce 0.750 0.235 0.000
14 Ce 0.250 0.765 0.000

=====

# 11
VASP calculation (PBE-GGA) on a relaxed SmHo5Er2Tm crystal.

Values from the calculation:
As for the density of states at the Fermi level: 27.935 states/eV per cell. Its mass density is 8.50 g/cm3. The space group is Cmc2_1, No. 36. For the energy of formation from the pure elements, the calculation gives 1.41 eV/f.u. The uncorrected energy is -0.32499 Ry/atom. The calculated volume comes out at 577.9 Å³/cell.

Lattice parameters (Å, degrees): 5.553 10.251 10.546 90.00 90.00 105.71
Fractional coordinates of all 18 atoms:
1 Sm 0.799 0.599 0.511
2 Sm 0.201 0.401 0.011
3 Ho 0.393 0.786 0.023
4 Ho 0.718 0.436 0.806
5 Ho 0.479 0.958 0.738
6 Ho 0.301 0.601 0.707
7 Ho 0.982 0.965 0.526
8 Ho 0.607 0.214 0.523
9 Ho 0.282 0.564 0.306
10 Ho 0.521 0.042 0.238
11 Ho 0.699 0.399 0.207
12 Ho 0.018 0.035 0.026
13 Er 0.887 0.773 0.818
14 Er 0.109 0.217 0.739
15 Er 0.113 0.227 0.318
16 Er 0.891 0.783 0.239
17 Tm 0.587 0.173 0.956
18 Tm 0.413 0.827 0.456

=====

# 12
VASP calculation (PBE-GGA) on a relaxed CdInAgIr crystal.

Values from the calculation:
As for the density of states at the Fermi level: 1.949 states/eV per cell. Its mass density is 12.01 g/cm3. The space group is F-43m, No. 216. For the energy of formation from the pure elements, the calculation gives 0.12 eV/f.u. The uncorrected energy is -0.28007 Ry/atom. The calculated volume comes out at 72.9 Å³/cell.

Lattice parameters (Å, degrees): 4.689 4.689 4.689 60.00 60.00 60.00
Fractional coordinates of all 4 atoms:
1 Cd 0.750 0.750 0.750
2 Ir 0.500 0.500 0.500
3 Ag 0.000 0.000 0.000
4 In 0.250 0.250 0.250